Material: Pm8Tm5Mg
Method: DFT, PBE-GGA
State: optimized geometry

magnetic moment	0.000	μB/f.u.
DFT formation energy	0.19	eV/atom
D(E_F)	20.4	states/eV per cell

a = 8.0789 Å, b = 8.0789 Å, c = 9.4406 Å
α = 119.37°, β = 119.37°, γ = 78.48°
Sites, in units of the cell vectors:
Pm  0.0436  0.0436  0.2185
Pm  0.2115  0.4979  0.5764
Pm  0.2493  0.2545  0.8434
Pm  0.4836  0.1665  0.2939
Pm  0.5021  0.7885  0.4236
Pm  0.7455  0.7507  0.1566
Pm  0.8335  0.5164  0.7061
Pm  0.9564  0.9564  0.7815
Tm  0.0889  0.4414  0.1461
Tm  0.2925  0.7075  0.0000
Tm  0.5586  0.9111  0.8539
Tm  0.6124  0.2808  0.7876
Tm  0.7192  0.3876  0.2124
Mg  0.1424  0.8576  0.5000